A plane-wave DFT calculation with PBE+U was carried out for a geometry-optimized Mn3CrCu2P6O24 structure.

Cell: 8.5055 8.5055 8.5055 Å, 60.18 60.18 60.18°
Closest atoms and distances in Å follow each position.
Fractional coordinates of all 36 atoms:
1 O 0.5037 0.3143 0.1199  1 P 1.53
2 O 0.8105 0.0067 0.6149  1 P 1.51
3 P 0.9612 0.5405 0.2513  4 O 1.53-1.57
4 O 0.2385 0.4458 0.5803  1 P 1.58
5 O 0.5479 0.4207 0.7638  1 P 1.57
6 O 0.0917 0.9401 0.7408  1 P 1.55
7 Mn 0.1423 0.1423 0.1423  6 O 1.92-2.01
8 O 0.7408 0.0917 0.9401  1 P 1.55
9 O 0.2563 0.9120 0.0621  1 P 1.57
10 Cu 0.9993 0.9993 0.9993  6 O 2.17-2.18
11 O 0.6933 0.8800 0.4880  1 P 1.53
12 O 0.7638 0.5479 0.4207  1 P 1.57
13 O 0.3143 0.1199 0.5037  1 P 1.53
14 O 0.9401 0.7408 0.0917  1 P 1.55
15 Mn 0.3584 0.3584 0.3584  6 O 1.89-1.97
16 Mn 0.6418 0.6418 0.6418  6 O 1.92-1.99
17 O 0.8800 0.4880 0.6933  1 P 1.53
18 O 0.0621 0.2563 0.9120  1 P 1.57
19 O 0.1199 0.5037 0.3143  1 P 1.53
20 P 0.4584 0.7501 0.0401  4 O 1.51-1.58
21 O 0.9961 0.3857 0.1843  1 P 1.53
22 P 0.2513 0.9612 0.5405  4 O 1.53-1.57
23 O 0.4458 0.5803 0.2385  1 P 1.58
24 P 0.5405 0.2513 0.9612  4 O 1.53-1.57
25 P 0.0401 0.4584 0.7501  4 O 1.51-1.58
26 O 0.3857 0.1843 0.9961  1 P 1.53
27 O 0.6149 0.8105 0.0067  1 P 1.51
28 P 0.7501 0.0401 0.4584  4 O 1.51-1.58
29 O 0.0067 0.6149 0.8105  1 P 1.51
30 O 0.4207 0.7638 0.5479  1 P 1.57
31 O 0.1843 0.9961 0.3857  1 P 1.53
32 O 0.5803 0.2385 0.4458  1 P 1.58
33 O 0.4880 0.6933 0.8800  1 P 1.53
34 O 0.9120 0.0621 0.2563  1 P 1.57
35 Cr 0.8597 0.8597 0.8597  6 O 1.96-2.01
36 Cu 0.4995 0.4995 0.4995  6 O 2.19-2.20

Computed properties:
Total magnetic moment, μB/atom: 0.31
Final energy, eV/atom: -7.0347